No. 1
A plane-wave DFT calculation with PBE was carried out for Y3Pu2Ru3 after structural relaxation.

Output
* SG: Cmcm, No. 63
* V: 22.975 Å³/atom
* E_form: -0.2347 eV per atom
* raw total energy: -9.720 eV/atom

Unit cell a=3.9726 b=6.5463 c=14.8346 alpha=90.00 beta=90.00 gamma=107.66
Last column: nearest neighbours and their distance in Å.
Sites, in units of the cell vectors:
Pu1 0.7832 0.5663 0.9137  3 Ru 2.58-2.67
Pu2 0.7832 0.5663 0.5863  3 Ru 2.58-2.67
Y1 0.9331 0.8662 0.1237  6 Ru 3.09-3.18, 2 Pu 3.40
Pu3 0.2168 0.4337 0.0863  3 Ru 2.58-2.67
Pu4 0.2168 0.4337 0.4137  3 Ru 2.58-2.67
Y2 0.6291 0.2582 0.2500  4 Ru 2.96-3.11
Ru1 0.5963 0.1927 0.4580  2 Pu 2.58, 1 Ru 2.71
Ru2 0.4037 0.8073 0.9580  2 Pu 2.58, 1 Ru 2.71
Y3 0.0669 0.1338 0.8763  6 Ru 3.09-3.18, 2 Pu 3.40
Y4 0.0669 0.1338 0.6237  6 Ru 3.09-3.18, 2 Pu 3.40
Ru3 0.6950 0.3900 0.7500  2 Pu 2.67, 2 Y 2.96
Y5 0.3709 0.7418 0.7500  4 Ru 2.96-3.11
Ru4 0.5963 0.1927 0.0420  2 Pu 2.58, 1 Ru 2.71
Ru5 0.4037 0.8073 0.5420  2 Pu 2.58, 1 Ru 2.71
Ru6 0.3050 0.6100 0.2500  2 Pu 2.67, 2 Y 2.96
Y6 0.9331 0.8662 0.3763  6 Ru 3.09-3.18, 2 Pu 3.40



No. 2
A plane-wave DFT calculation with PBE was carried out for YPu2Ru3 after structural relaxation.

Output
* excess energy over the best structure of this formula in the dataset: 0.020 eV/f.u.
* SG: Cmmm, No. 65
* V: 19.512 Å³/atom
* E_form: -0.2075 eV per atom
* raw total energy: -10.700 eV/atom

Unit cell a=3.3579 b=4.8979 c=7.5277 alpha=108.98 beta=90.00 gamma=90.00
Last column: nearest neighbours and their distance in Å.
Sites, in units of the cell vectors:
Ru1 0.5000 0.8231 0.6462  6 Pu 2.81-2.97, 2 Y 3.03
Ru2 0.5000 0.1769 0.3538  6 Pu 2.81-2.97, 2 Y 3.03
Ru3 0.5000 0.5000 0.0000  4 Pu 2.88, 4 Y 2.97
Pu1 0.0000 0.6647 0.3293  8 Ru 2.81-2.97
Y1 0.0000 0.0000 0.0000  8 Ru 2.97-3.03
Pu2 0.0000 0.3353 0.6707  8 Ru 2.81-2.97



No. 3
A plane-wave DFT calculation with PBE was carried out for Y2Pu3Ru2 after structural relaxation.

Output
* SG: C2/m, No. 12
* V: 24.497 Å³/atom
* E_form: -0.1536 eV per atom
* raw total energy: -10.793 eV/atom

Unit cell a=3.9244 b=5.8940 c=8.3994 alpha=109.42 beta=90.02 gamma=109.40
Last column: nearest neighbours and their distance in Å.
Sites, in units of the cell vectors:
Pu1 0.5000 0.0000 0.0000  4 Ru 2.68-2.69
Pu2 0.3764 0.7529 0.5630  2 Ru 2.78-2.79
Y1 0.1626 0.3259 0.8101  3 Ru 3.04-3.24
Ru1 0.1335 0.2654 0.2060  4 Pu 2.68-2.79
Y2 0.8374 0.6741 0.1899  3 Ru 3.04-3.24
Pu3 0.6236 0.2471 0.4370  2 Ru 2.78-2.79
Ru2 0.8665 0.7346 0.7940  4 Pu 2.68-2.79



No. 4
A plane-wave DFT calculation with PBE was carried out for Y2PuRu after structural relaxation.

Output
* excess energy over the best structure of this formula in the dataset: 0.000 eV/f.u.
* SG: Pnma, No. 62
* V: 26.605 Å³/atom
* E_form: -0.2236 eV per atom
* raw total energy: -9.358 eV/atom

Unit cell a=6.2789 b=7.1736 c=9.4507 alpha=90.00 beta=90.00 gamma=90.00
Last column: nearest neighbours and their distance in Å.
Sites, in units of the cell vectors:
Y1 0.6746 0.8276 0.9359  3 Ru 2.99-3.20
Y2 0.8254 0.3276 0.9359  3 Ru 2.99-3.20
Ru1 0.4917 0.8678 0.2500  2 Pu 2.51-2.56
Y3 0.6746 0.8276 0.5641  3 Ru 2.99-3.20
Pu1 0.6570 0.5489 0.2500  2 Ru 2.51-2.56
Pu2 0.1570 0.9511 0.7500  2 Ru 2.51-2.56
Ru2 0.5083 0.1322 0.7500  2 Pu 2.51-2.56
Y4 0.1746 0.6724 0.0641  3 Ru 2.99-3.20
Y5 0.3254 0.1724 0.4359  3 Ru 2.99-3.20
Ru3 0.9917 0.6322 0.7500  2 Pu 2.51-2.56
Y6 0.1746 0.6724 0.4359  3 Ru 2.99-3.20
Y7 0.8254 0.3276 0.5641  3 Ru 2.99-3.20
Pu3 0.3430 0.4511 0.7500  2 Ru 2.51-2.56
Ru4 0.0083 0.3678 0.2500  2 Pu 2.51-2.56
Pu4 0.8430 0.0489 0.2500  2 Ru 2.51-2.56
Y8 0.3254 0.1724 0.0641  3 Ru 2.99-3.20



No. 5
A plane-wave DFT calculation with PBE was carried out for Y2PuRu3 after structural relaxation.

Output
* excess energy over the best structure of this formula in the dataset: 2.639 eV/f.u.
* SG: Immm, No. 71
* V: 21.069 Å³/atom
* E_form: 0.0852 eV per atom
* raw total energy: -9.096 eV/atom

Unit cell a=3.2937 b=5.5729 c=7.6097 alpha=111.48 beta=102.50 gamma=90.00
Last column: nearest neighbours and their distance in Å.
Sites, in units of the cell vectors:
Ru1 0.3515 0.3515 0.7030  2 Pu 2.63, 2 Y 2.80
Pu1 0.0000 0.5000 0.0000  6 Ru 2.63-2.79
Y1 0.3313 0.8313 0.6625  6 Ru 2.80-3.01
Ru2 0.6485 0.6485 0.2970  2 Pu 2.63, 2 Y 2.80
Ru3 0.0000 0.0000 0.0000  2 Pu 2.79, 4 Y 2.85
Y2 0.6687 0.1687 0.3375  6 Ru 2.80-3.01



No. 6
A plane-wave DFT calculation with PBE was carried out for YPu4Ru5 after structural relaxation.

Output
* SG: P4/mmm, No. 123
* V: 19.456 Å³/atom
* E_form: -0.1871 eV per atom
* raw total energy: -11.204 eV/atom

Unit cell a=3.3767 b=3.3767 c=17.0633 alpha=90.00 beta=90.00 gamma=90.00
Last column: nearest neighbours and their distance in Å.
Sites, in units of the cell vectors:
Ru1 0.5000 0.5000 0.2989  8 Pu 2.91-2.95, 1 Ru 3.25
Ru2 0.5000 0.5000 0.8917  4 Pu 2.87, 4 Y 3.02
Ru3 0.5000 0.5000 0.1083  4 Pu 2.87, 4 Y 3.02
Pu1 0.0000 0.0000 0.7986  8 Ru 2.87-2.91
Y1 0.0000 0.0000 0.0000  8 Ru 3.02, 4 Y 3.38
Ru4 0.5000 0.5000 0.7011  8 Pu 2.91-2.95, 1 Ru 3.25
Pu2 0.0000 0.0000 0.2014  8 Ru 2.87-2.91
Pu3 0.0000 0.0000 0.5995  8 Ru 2.93-2.95
Pu4 0.0000 0.0000 0.4005  8 Ru 2.93-2.95
Ru5 0.5000 0.5000 0.5000  8 Pu 2.93



No. 7
A plane-wave DFT calculation with PBE was carried out for YPu2Ru2 after structural relaxation.

Output
* excess energy over the best structure of this formula in the dataset: 0.000 eV/f.u.
* SG: P2_1/m, No. 11
* V: 21.060 Å³/atom
* E_form: -0.1259 eV per atom
* raw total energy: -10.862 eV/atom

Unit cell a=3.4073 b=4.9701 c=12.5534 alpha=90.02 beta=97.85 gamma=90.00
Last column: nearest neighbours and their distance in Å.
Sites, in units of the cell vectors:
Y1 0.1403 0.2500 0.2810  6 Ru 3.01-3.02
Pu1 0.9529 0.2500 0.9049  8 Ru 2.77-3.02
Ru1 0.3568 0.2500 0.7131  4 Pu 2.81-2.93, 4 Y 3.01
Pu2 0.0471 0.7500 0.0951  8 Ru 2.77-3.02
Ru2 0.5399 0.2501 0.0809  6 Pu 2.77-3.02, 2 Y 3.01-3.02
Pu3 0.2334 0.7500 0.4666  2 Ru 2.81, 4 Pu 3.12-3.13
Ru3 0.6432 0.7500 0.2869  4 Pu 2.81-2.93, 4 Y 3.01
Ru4 0.4601 0.7499 0.9191  6 Pu 2.77-3.02, 2 Y 3.01-3.02
Pu4 0.7666 0.2500 0.5334  2 Ru 2.81, 4 Pu 3.12-3.13
Y2 0.8597 0.7500 0.7190  6 Ru 3.01-3.02



No. 8
A plane-wave DFT calculation with PBE was carried out for YPu2Ru9 after structural relaxation.

Output
* SG: R-3m, No. 166
* V: 17.331 Å³/atom
* E_form: -0.0318 eV per atom
* raw total energy: -9.916 eV/atom

Unit cell a=5.2126 b=5.2126 c=9.3366 alpha=73.79 beta=73.79 gamma=60.00
Last column: nearest neighbours and their distance in Å.
Sites, in units of the cell vectors:
Ru1 0.3355 0.3355 0.9936  6 Ru 2.62-2.69
Pu1 0.1411 0.1411 0.5768  12 Ru 3.04-3.27, 3 Pu 3.30
Ru2 0.9220 0.4155 0.2470  7 Ru 2.57-2.71
Ru3 0.4155 0.4155 0.2470  7 Ru 2.57-2.71
Y1 0.0000 0.0000 0.0000  6 Ru 3.01
Pu2 0.8589 0.8589 0.4232  12 Ru 3.04-3.27, 3 Pu 3.30
Ru4 0.0780 0.5845 0.7530  7 Ru 2.57-2.71
Ru5 0.4155 0.9220 0.2470  7 Ru 2.57-2.71
Ru6 0.5000 0.5000 0.5000  6 Ru 2.71
Ru7 0.5845 0.5845 0.7530  7 Ru 2.57-2.71
Ru8 0.6645 0.6645 0.0064  6 Ru 2.62-2.69
Ru9 0.5845 0.0780 0.7530  7 Ru 2.57-2.71



- The highest V belongs to which entry?
  Y2PuRu